(1)
Compound: Ca2ZrP
Source: Alexandria via LeMat-Bulk
Functional: GGA-PBEsol
Structure: optimized geometry

Lattice parameters (Å, degrees): 4.1044 4.1044 5.9694 110.11 110.11 90.00
With the nearest neighbours (Å) after each atom.
Sites, in units of the cell vectors:
Ca  0.7500  0.2500  0.5000  4 Ca 2.90
Ca  0.2500  0.7500  0.5000  4 Ca 2.90
P  0.5000  0.5000  0.0000  4 Zr 2.90
Zr  0.0000  0.0000  0.0000  4 P 2.90

Summary:
Its total energy is -4.904 eV per atom.

(2)
Compound: CaZrP2
Source: Alexandria via LeMat-Bulk
Functional: GGA-PBEsol
Structure: optimized geometry

Lattice parameters (Å, degrees): 3.6448 4.1207 5.3118 90.00 110.06 90.00
With the nearest neighbours (Å) after each atom.
Sites, in units of the cell vectors:
Ca  0.2435  0.0000  0.4870  5 P 2.64-2.77
P  0.9788  0.0000  0.9576  1 Ca 2.64, 4 Zr 2.76, 2 P 2.88
P  0.7769  0.5000  0.5537  3 Zr 2.75-2.88, 4 Ca 2.77, 2 P 2.88
Zr  0.5009  0.5000  0.0017  7 P 2.75-2.88

Summary:
For the relative energy among the computed polymorphs, the calculation gives 0.318 eV/atom.

(3)
Compound: CaZrP2
Source: Alexandria via LeMat-Bulk
Functional: GGA-PBEsol
Structure: optimized geometry

Lattice parameters (Å, degrees): 3.7994 3.7994 6.8960 74.01 74.01 60.00
With the nearest neighbours (Å) after each atom.
Sites, in units of the cell vectors:
P  0.2420  0.2420  0.2740  3 Zr 2.64, 3 Ca 2.83
P  0.7580  0.7580  0.7260  3 Zr 2.64, 3 Ca 2.83
Ca  0.0000  0.0000  0.0000  6 P 2.83
Zr  0.5000  0.5000  0.5000  6 P 2.64

Summary:
For the relative energy among the computed polymorphs, the calculation gives 0.000 eV/atom.

(4)
Compound: CaZrP2
Source: Alexandria via LeMat-Bulk
Functional: GGA-PBEsol
Structure: optimized geometry

Lattice parameters (Å, degrees): 4.7121 4.7121 4.7121 60.00 60.00 60.00
With the nearest neighbours (Å) after each atom.
Sites, in units of the cell vectors:
Ca  0.0000  0.0000  0.0000  8 P 2.89
P  0.2500  0.2500  0.2500  4 Zr 2.89, 4 Ca 2.89
P  0.7500  0.7500  0.7500  4 Zr 2.89, 4 Ca 2.89
Zr  0.5000  0.5000  0.5000  8 P 2.89

Summary:
For the relative energy among the computed polymorphs, the calculation gives 0.546 eV/atom.